No. 1
Below is crystalline Li2HoPb4 at its relaxed geometry, with properties calculated at the PBE level.

Properties
Space-group type: No. 139
Crystal system: tetragonal
N(E_F) in states/eV per atom: 0.581
Energy of formation in eV/atom: -0.25

Unit cell a=6.301 b=6.301 c=6.301 alpha=109.88 beta=109.88 gamma=108.66
Fractional positions:
1 Li 0.000 0.500 0.500
2 Li 0.500 0.000 0.500
3 Ho 0.000 0.000 0.000
4 Pb 0.000 0.000 0.500
5 Pb 0.000 0.500 0.000
6 Pb 0.500 0.000 0.000
7 Pb 0.500 0.500 0.500

---

No. 2
Below is crystalline Li4HoPb7 at its relaxed geometry, with properties calculated at the PBE level.

Properties
Space-group type: No. 12
Crystal system: monoclinic
N(E_F) in states/eV per atom: 0.432
Energy of formation in eV/atom: -0.13

Unit cell a=7.724 b=7.724 c=9.152 alpha=121.31 beta=121.31 gamma=44.65
Fractional positions:
1 Li 0.028 0.028 0.206
2 Li 0.183 0.183 0.837
3 Li 0.817 0.817 0.163
4 Li 0.972 0.972 0.794
5 Ho 0.500 0.500 0.500
6 Pb 0.000 0.000 0.500
7 Pb 0.222 0.222 0.182
8 Pb 0.286 0.286 0.621
9 Pb 0.421 0.421 0.088
10 Pb 0.579 0.579 0.912
11 Pb 0.714 0.714 0.379
12 Pb 0.778 0.778 0.818

---

No. 3
Below is crystalline Li3HoPb4 at its relaxed geometry, with properties calculated at the PBE level.

Properties
Space-group type: No. 47
Crystal system: orthorhombic
N(E_F) in states/eV per atom: 0.254
Energy of formation in eV/atom: -0.31

Unit cell a=4.234 b=4.785 c=9.665 alpha=90.00 beta=90.00 gamma=90.00
Fractional positions:
1 Li 0.000 0.000 0.000
2 Li 0.000 0.500 0.233
3 Li 0.000 0.500 0.767
4 Ho 0.000 0.000 0.500
5 Pb 0.500 0.000 0.237
6 Pb 0.500 0.000 0.763
7 Pb 0.500 0.500 0.000
8 Pb 0.500 0.500 0.500

---

No. 4
Below is crystalline Li2HoPb2 at its relaxed geometry, with properties calculated at the PBE level.

Properties
Space-group type: No. 127
Crystal system: tetragonal
N(E_F) in states/eV per atom: 0.471
Energy of formation in eV/atom: -0.32

Unit cell a=8.405 b=8.405 c=3.239 alpha=90.00 beta=90.00 gamma=90.00
Fractional positions:
1 Li 0.114 0.386 0.000
2 Li 0.386 0.886 0.000
3 Li 0.614 0.114 0.000
4 Li 0.886 0.614 0.000
5 Ho 0.000 0.000 0.000
6 Ho 0.500 0.500 0.000
7 Pb 0.180 0.680 0.500
8 Pb 0.320 0.180 0.500
9 Pb 0.680 0.820 0.500
10 Pb 0.820 0.320 0.500

---

No. 5
Below is crystalline LiHo3Pb5 at its relaxed geometry, with properties calculated at the PBE level.

Properties
Space-group type: No. 193
Crystal system: hexagonal
N(E_F) in states/eV per atom: 0.580
Energy of formation in eV/atom: -0.33

Unit cell a=9.318 b=9.318 c=6.491 alpha=90.00 beta=90.00 gamma=120.00
Fractional positions:
1 Li 0.000 0.000 0.000
2 Li 0.000 0.000 0.500
3 Ho 0.000 0.383 0.250
4 Ho 0.000 0.617 0.750
5 Ho 0.383 0.000 0.250
6 Ho 0.383 0.383 0.750
7 Ho 0.617 0.000 0.750
8 Ho 0.617 0.617 0.250
9 Pb 0.000 0.269 0.750
10 Pb 0.000 0.731 0.250
11 Pb 0.269 0.000 0.750
12 Pb 0.269 0.269 0.250
13 Pb 0.333 0.667 0.000
14 Pb 0.333 0.667 0.500
15 Pb 0.667 0.333 0.000
16 Pb 0.667 0.333 0.500
17 Pb 0.731 0.000 0.250
18 Pb 0.731 0.731 0.750

---

No. 6
Below is crystalline LiHo2Pb2 at its relaxed geometry, with properties calculated at the PBE level.

Properties
Space-group type: No. 72
Crystal system: orthorhombic
N(E_F) in states/eV per atom: 0.499
Energy of formation in eV/atom: -0.35

Unit cell a=7.933 b=7.933 c=7.933 alpha=131.15 beta=70.32 gamma=132.74
Fractional positions:
1 Li 0.250 0.250 0.000
2 Li 0.750 0.750 0.000
3 Ho 0.140 0.716 0.856
4 Ho 0.360 0.216 0.576
5 Ho 0.640 0.784 0.424
6 Ho 0.860 0.284 0.144
7 Pb 0.118 0.240 0.358
8 Pb 0.382 0.740 0.122
9 Pb 0.618 0.260 0.878
10 Pb 0.882 0.760 0.642

---

No. 7
Below is crystalline LiHo3Pb2 at its relaxed geometry, with properties calculated at the PBE level.

Properties
Space-group type: No. 72
Crystal system: orthorhombic
N(E_F) in states/eV per atom: 0.564
Energy of formation in eV/atom: -0.36

Unit cell a=9.368 b=9.368 c=9.368 alpha=140.07 beta=57.52 gamma=140.37
Fractional positions:
1 Li 0.250 0.250 0.000
2 Li 0.750 0.750 0.000
3 Ho 0.175 0.246 0.421
4 Ho 0.250 0.750 0.500
5 Ho 0.325 0.746 0.070
6 Ho 0.675 0.254 0.930
7 Ho 0.750 0.250 0.500
8 Ho 0.825 0.754 0.579
9 Pb 0.133 0.759 0.892
10 Pb 0.367 0.259 0.626
11 Pb 0.633 0.741 0.374
12 Pb 0.867 0.241 0.108

---

No. 8
Below is crystalline LiHoPb6 at its relaxed geometry, with properties calculated at the PBE level.

Properties
Space-group type: No. 123
Crystal system: tetragonal
N(E_F) in states/eV per atom: 0.347
Energy of formation in eV/atom: -0.19

Unit cell a=4.804 b=4.804 c=9.921 alpha=90.00 beta=90.00 gamma=90.00
Fractional positions:
1 Li 0.000 0.000 0.000
2 Ho 0.000 0.000 0.500
3 Pb 0.000 0.500 0.245
4 Pb 0.000 0.500 0.755
5 Pb 0.500 0.000 0.245
6 Pb 0.500 0.000 0.755
7 Pb 0.500 0.500 0.000
8 Pb 0.500 0.500 0.500

---

No. 9
Below is crystalline Li4HoPb at its relaxed geometry, with properties calculated at the PBE level.

Properties
Space-group type: No. 216
Crystal system: cubic
N(E_F) in states/eV per atom: 0.620
Energy of formation in eV/atom: -0.10

Unit cell a=5.605 b=5.605 c=5.605 alpha=60.00 beta=60.00 gamma=60.00
Fractional positions:
1 Li 0.376 0.376 0.376
2 Li 0.376 0.376 0.873
3 Li 0.376 0.873 0.376
4 Li 0.873 0.376 0.376
5 Ho 0.750 0.750 0.750
6 Pb 0.000 0.000 0.000

---

No. 10
Below is crystalline Li2Ho3Pb4 at its relaxed geometry, with properties calculated at the PBE level.

Properties
Space-group type: No. 12
Crystal system: monoclinic
N(E_F) in states/eV per atom: 0.437
Energy of formation in eV/atom: -0.40

Unit cell a=6.289 b=6.289 c=8.944 alpha=107.70 beta=107.70 gamma=43.16
Fractional positions:
1 Li 0.194 0.194 0.380
2 Li 0.806 0.806 0.620
3 Ho 0.126 0.126 0.693
4 Ho 0.500 0.500 0.000
5 Ho 0.874 0.874 0.307
6 Pb 0.199 0.199 0.082
7 Pb 0.423 0.423 0.618
8 Pb 0.577 0.577 0.382
9 Pb 0.801 0.801 0.918

---

No. 11
Below is crystalline Li3HoPb3 at its relaxed geometry, with properties calculated at the PBE level.

Properties
Space-group type: No. 223
Crystal system: cubic
N(E_F) in states/eV per atom: 0.885
Energy of formation in eV/atom: 0.26

Unit cell a=7.247 b=7.247 c=7.247 alpha=90.00 beta=90.00 gamma=90.00
Fractional positions:
1 Li 0.000 0.250 0.500
2 Li 0.000 0.750 0.500
3 Li 0.250 0.500 0.000
4 Li 0.500 0.000 0.250
5 Li 0.500 0.000 0.750
6 Li 0.750 0.500 0.000
7 Ho 0.000 0.000 0.000
8 Ho 0.500 0.500 0.500
9 Pb 0.000 0.500 0.250
10 Pb 0.000 0.500 0.750
11 Pb 0.250 0.000 0.500
12 Pb 0.500 0.250 0.000
13 Pb 0.500 0.750 0.000
14 Pb 0.750 0.000 0.500

---

No. 12
Below is crystalline Li2HoPb9 at its relaxed geometry, with properties calculated at the PBE level.

Properties
Space-group type: No. 123
Crystal system: tetragonal
N(E_F) in states/eV per atom: 0.451
Energy of formation in eV/atom: -0.17

Unit cell a=4.795 b=4.795 c=14.901 alpha=90.00 beta=90.00 gamma=90.00
Fractional positions:
1 Li 0.000 0.000 0.167
2 Li 0.000 0.000 0.833
3 Ho 0.000 0.000 0.500
4 Pb 0.000 0.500 0.000
5 Pb 0.000 0.500 0.329
6 Pb 0.000 0.500 0.671
7 Pb 0.500 0.000 0.000
8 Pb 0.500 0.000 0.329
9 Pb 0.500 0.000 0.671
10 Pb 0.500 0.500 0.164
11 Pb 0.500 0.500 0.500
12 Pb 0.500 0.500 0.836